The following is a PBE calculation of crystalline Tb6Hg3TeSe2 at its relaxed geometry, from the Alexandria database.

POSCAR file:
```
Tb6Hg3TeSe2
1.0
4.049 0.000 0.000
0.000 9.017 -0.218
-2.024 -3.160 9.082
Tb Hg Te Se
6 3 1 2
direct
0.330 0.905 0.661 Tb
0.671 0.567 0.342 Tb
0.670 0.095 0.339 Tb
0.008 0.256 0.016 Tb
0.992 0.744 0.984 Tb
0.329 0.433 0.658 Tb
0.500 0.500 0.000 Hg
0.839 0.177 0.678 Hg
0.161 0.823 0.322 Hg
0.500 0.000 0.000 Te
0.831 0.670 0.663 Se
0.169 0.330 0.337 Se
```

## Properties
The space group is No. 12.

The following is a PBE calculation of crystalline TbTl2Hg2Se4 at its relaxed geometry, from the Alexandria database.

POSCAR file:
```
TbTl2Hg2Se4
1.0
-0.284 -4.149 0.649
6.702 0.322 4.992
-7.090 3.156 3.422
Tb Tl Hg Se
1 2 2 4
direct
0.000 0.000 0.000 Tb
0.122 0.550 0.243 Tl
0.878 0.450 0.757 Tl
0.693 0.030 0.386 Hg
0.307 0.970 0.614 Hg
0.192 0.247 0.384 Se
0.808 0.753 0.616 Se
0.519 0.776 0.037 Se
0.481 0.224 0.963 Se
```

## Properties
The space group is No. 12.

The following is a PBE calculation of crystalline Tb4TlHgSe2 at its relaxed geometry, from the Alexandria database.

POSCAR file:
```
Tb4TlHgSe2
1.0
-0.948 3.881 -0.153
-2.386 -0.325 6.522
7.820 1.930 0.496
Tb Tl Hg Se
4 1 1 2
direct
0.500 0.255 0.274 Tb
0.500 0.745 0.726 Tb
0.000 0.240 0.725 Tb
0.000 0.760 0.275 Tb
0.500 0.500 0.000 Tl
0.000 0.000 0.000 Hg
0.500 0.000 0.500 Se
0.000 0.500 0.500 Se
```

## Properties
The space group is No. 10.

The following is a PBE calculation of crystalline Tb2Tl3HgSe6 at its relaxed geometry, from the Alexandria database.

POSCAR file:
```
Tb2Tl3HgSe6
1.0
-6.348 -3.601 0.106
4.848 -0.967 5.370
-2.628 7.171 2.001
Tb Tl Hg Se
2 3 1 6
direct
0.334 0.666 0.000 Tb
0.666 0.334 0.000 Tb
0.170 0.830 0.500 Tl
0.830 0.170 0.500 Tl
0.500 0.500 0.500 Tl
0.000 0.000 0.000 Hg
0.929 0.590 0.786 Se
0.733 0.733 0.216 Se
0.071 0.410 0.214 Se
0.590 0.929 0.786 Se
0.267 0.267 0.784 Se
0.410 0.071 0.214 Se
```

## Properties
The space group is No. 12.

In the order shown, the computed density of states at the Fermi level values come out to 6.14; 3.65; 4.06; 5.85 states/eV/f.u..
In the order shown, the computed volume values come out to 329; 261; 215; 346 Å³/cell.
In the order shown, the computed electronic total energy values come out to -51.0; -29.7; -36.8; -48.8 eV per cell.